(1)
A plane-wave DFT calculation with PBE-GGA was carried out for a relaxed Te5Se crystal.

Properties
Magnetization   0.000 μB per atom
Raw formation energy   0.172 eV per atom
Polymorph energy (0 for the lowest one)   0.047 eV per atom

Cell: 4.1674 12.5433 8.4799 Å, 90.00 90.00 90.00°
With the nearest neighbours (Å) after each atom.
Fractional coordinates of all 12 atoms:
Te 0.0000 0.0000 0.0000  4 Te 2.95
Te 0.0000 0.1641 0.5000  2 Se 2.93, 2 Te 3.00
Te 0.0000 0.3334 0.0000  4 Te 2.95
Te 0.0000 0.6666 0.0000  4 Te 2.95
Te 0.0000 0.8359 0.5000  2 Se 2.93, 2 Te 3.00
Te 0.5000 0.1666 0.0000  4 Te 2.95
Te 0.5000 0.3359 0.5000  2 Se 2.93, 2 Te 3.00
Te 0.5000 0.5000 0.0000  4 Te 2.95
Te 0.5000 0.6641 0.5000  2 Se 2.93, 2 Te 3.00
Te 0.5000 0.8334 0.0000  4 Te 2.95
Se 0.0000 0.5000 0.5000  4 Te 2.93
Se 0.5000 0.0000 0.5000  4 Te 2.93

=====

(2)
A plane-wave DFT calculation with PBE-GGA was carried out for a relaxed TeSe3 crystal.

Properties
Magnetization   0.000 μB per atom
Raw formation energy   0.122 eV per atom
Polymorph energy (0 for the lowest one)   0.004 eV per atom

Cell: 8.3255 8.3255 5.0114 Å, 90.00 90.00 120.00°
With the nearest neighbours (Å) after each atom.
Fractional coordinates of all 12 atoms:
Te 0.0000 0.0000 0.0000  6 Se 2.93
Te 0.3333 0.6667 0.6667  6 Se 2.93
Te 0.6667 0.3333 0.3333  6 Se 2.93
Se 0.0000 0.5000 0.0000  4 Se 2.93, 2 Te 2.93
Se 0.1667 0.3333 0.3333  4 Se 2.93, 2 Te 2.93
Se 0.1667 0.8333 0.3333  2 Te 2.93, 4 Se 2.93
Se 0.3333 0.1667 0.6667  4 Se 2.93, 2 Te 2.93
Se 0.5000 0.0000 0.0000  2 Te 2.93, 4 Se 2.93
Se 0.5000 0.5000 0.0000  4 Se 2.93, 2 Te 2.93
Se 0.6667 0.8333 0.3333  4 Se 2.93, 2 Te 2.93
Se 0.8333 0.1667 0.6667  2 Te 2.93, 4 Se 2.93
Se 0.8333 0.6667 0.6667  4 Se 2.93, 2 Te 2.93

=====

(3)
A plane-wave DFT calculation with PBE-GGA was carried out for a relaxed Te2Se3 crystal.

Properties
Magnetization   0.000 μB per atom
Raw formation energy   0.088 eV per atom

Cell: 7.3006 7.3071 7.5282 Å, 65.25 89.29 64.75°
With the nearest neighbours (Å) after each atom.
Fractional coordinates of all 10 atoms:
Te 0.1911 0.1579 0.4501  2 Se 2.54-2.80
Te 0.2913 0.7564 0.0367  2 Se 2.56-2.60
Te 0.7087 0.2436 0.9633  2 Se 2.56-2.60
Te 0.8089 0.8421 0.5499  2 Se 2.54-2.80
Se 0.0521 0.6284 0.2489  2 Te 2.56-2.80
Se 0.2272 0.6842 0.7391  2 Te 2.60-2.90
Se 0.4378 0.0023 0.2491  1 Te 2.54
Se 0.5622 0.9977 0.7509  1 Te 2.54
Se 0.7728 0.3158 0.2609  2 Te 2.60-2.90
Se 0.9479 0.3716 0.7511  2 Te 2.56-2.80

=====

(4)
A plane-wave DFT calculation with PBE-GGA was carried out for a relaxed Te5Se crystal.

Properties
Magnetization   0.000 μB per atom
Raw formation energy   0.126 eV per atom
Polymorph energy (0 for the lowest one)   0.000 eV per atom

Cell: 11.2271 4.2887 8.4646 Å, 90.00 101.86 90.00°
With the nearest neighbours (Å) after each atom.
Fractional coordinates of all 12 atoms:
Te 0.0000 0.0000 0.0000  2 Te 2.87-2.89
Te 0.0807 0.0000 0.3446  2 Te 2.87-2.96
Te 0.1637 0.5000 0.6670  1 Se 2.65, 1 Te 2.92
Te 0.2456 0.5000 0.0181  2 Te 2.89-2.92
Te 0.3433 0.0000 0.3368  1 Se 2.72, 1 Te 2.96
Te 0.5000 0.5000 0.0000  2 Te 2.87-2.89
Te 0.5807 0.5000 0.3446  2 Te 2.87-2.96
Te 0.6637 0.0000 0.6670  1 Se 2.65, 1 Te 2.92
Te 0.7456 0.0000 0.0181  2 Te 2.89-2.92
Te 0.8433 0.5000 0.3368  1 Se 2.72, 1 Te 2.96
Se 0.4269 0.0000 0.6618  2 Te 2.65-2.72
Se 0.9269 0.5000 0.6618  2 Te 2.65-2.72

=====

Which of these has the lowest raw formation energy? Te2Se3